Er2CdGa3Pt4: relaxed, GGA-PBE.

```
10
Lattice="-0.171 -1.864 3.571 -3.269 -2.024 -1.213 6.860 -8.592 -4.157" Properties=species:S:1:pos:R:3 pbc="T T T"
Er 1.610 -3.055 0.758
Er 3.530 -7.481 -3.736
Cd 1.710 -6.240 -0.900
Pt 0.000 0.000 0.000
Pt 4.457 -6.621 -0.968
Pt -1.720 -1.944 1.179
Pt 0.683 -3.914 -2.011
Ga -0.746 -2.125 -1.145
Ga 3.430 -4.296 -2.079
Ga 5.886 -8.410 -1.833
```

* raw total energy: -51.89 eV/cell
* M_tot: 0.00 μB per cell
* ρ: 12.49 g/cm³
* Fermi-level density of states: 4.93 states/eV/f.u.